(1)
CrCo3O8: relaxed, PBE+U.

Unit cell a=5.9658 b=5.9658 c=5.9658 alpha=57.43 beta=57.43 gamma=57.43
Closest atoms and distances in Å follow each position.
Fractional positions:
Co (0.5000, 0.0000, 0.5000)  6 O 1.89-1.91
O (0.7228, 0.2338, 0.2338)  2 Co 1.89, 1 Cr 1.94
O (0.2338, 0.2338, 0.7228)  2 Co 1.89, 1 Cr 1.94
O (0.2772, 0.7662, 0.7662)  2 Co 1.89, 1 Cr 1.94
Co (0.0000, 0.5000, 0.5000)  6 O 1.89-1.91
O (0.2338, 0.7228, 0.2338)  2 Co 1.89, 1 Cr 1.94
Cr (0.0000, 0.0000, 0.0000)  6 O 1.94
O (0.7662, 0.7662, 0.2772)  2 Co 1.89, 1 Cr 1.94
Co (0.5000, 0.5000, 0.0000)  6 O 1.89-1.91
O (0.7301, 0.7301, 0.7301)  3 Co 1.91
O (0.7662, 0.2772, 0.7662)  2 Co 1.89, 1 Cr 1.94
O (0.2699, 0.2699, 0.2699)  3 Co 1.91

Values from the calculation:
The space group is R-3m (166).

(2)
CrCo3O8: relaxed, PBE+U.

Unit cell a=5.6174 b=5.6174 c=8.8952 alpha=90.00 beta=90.00 gamma=120.00
Closest atoms and distances in Å follow each position.
Fractional positions:
O (0.0432, 0.5216, 0.3317)  2 Co 1.86, 1 Cr 2.00
Cr (0.6667, 0.3333, 0.9913)  6 O 1.94-2.00
O (0.3333, 0.6667, 0.1004)  3 Co 1.89
O (0.8353, 0.1647, 0.1069)  2 Co 1.86, 1 Cr 1.94
O (0.1647, 0.8353, 0.6069)  2 Co 1.86, 1 Cr 1.94
O (0.5216, 0.4784, 0.8317)  2 Co 1.86, 1 Cr 2.00
O (0.6667, 0.3333, 0.6004)  3 Co 1.89
Cr (0.3333, 0.6667, 0.4913)  6 O 1.94-2.00
O (0.6707, 0.8353, 0.6069)  2 Co 1.86, 1 Cr 1.94
O (0.8353, 0.6707, 0.1069)  2 Co 1.86, 1 Cr 1.94
O (0.0000, 0.0000, 0.3186)  3 Co 1.89
O (0.1647, 0.3293, 0.6069)  2 Co 1.86, 1 Cr 1.94
O (0.0000, 0.0000, 0.8186)  3 Co 1.89
Co (0.1675, 0.3350, 0.2109)  6 O 1.86-1.89
O (0.3293, 0.1647, 0.1069)  2 Co 1.86, 1 Cr 1.94
Co (0.1675, 0.8325, 0.2109)  6 O 1.86-1.89
Co (0.8325, 0.6650, 0.7109)  6 O 1.86-1.89
Co (0.3350, 0.1675, 0.7109)  6 O 1.86-1.89
O (0.4784, 0.9568, 0.3317)  2 Co 1.86, 1 Cr 2.00
Co (0.8325, 0.1675, 0.7109)  6 O 1.86-1.89
O (0.5216, 0.0432, 0.8317)  2 Co 1.86, 1 Cr 2.00
Co (0.6650, 0.8325, 0.2109)  6 O 1.86-1.89
O (0.4784, 0.5216, 0.3317)  2 Co 1.86, 1 Cr 2.00
O (0.9568, 0.4784, 0.8317)  2 Co 1.86, 1 Cr 2.00

Values from the calculation:
The space group is P6_3mc (186).

Relative energies in kJ/mol of atoms: (1) 0.8; (2) 0.0

(1)
CrCoO2: relaxed, PBE+U.

Unit cell a=3.7091 b=3.7091 c=3.7091 alpha=60.00 beta=60.00 gamma=60.00
Closest atoms and distances in Å follow each position.
Fractional positions:
O (0.2500, 0.2500, 0.2500)  4 Cr 2.27, 4 Co 2.27
Cr (0.0000, 0.0000, 0.0000)  8 O 2.27
Co (0.5000, 0.5000, 0.5000)  8 O 2.27
O (0.7500, 0.7500, 0.7500)  4 Cr 2.27, 4 Co 2.27

Values from the calculation:
The space group is Fm-3m (225).

(2)
CrCoO2: relaxed, PBE+U.

Unit cell a=3.2750 b=3.2750 c=5.9442 alpha=74.01 beta=74.01 gamma=60.00
Closest atoms and distances in Å follow each position.
Fractional positions:
Cr (0.6256, 0.6256, 0.1233)  4 O 2.04-2.19
O (0.0042, 0.0042, 0.9875)  1 Co 2.03, 3 Cr 2.04
O (0.4958, 0.4958, 0.5126)  3 Co 2.00, 1 Cr 2.19
Co (0.1245, 0.1245, 0.6266)  4 O 2.00-2.03

Values from the calculation:
The space group is R3m (160).

Relative energies in kJ/mol of atoms: (1) 101.9; (2) 0.0

(1)
CrCoWO2: relaxed, PBE+U.

Unit cell a=3.8617 b=5.5336 c=3.8617 alpha=90.00 beta=90.00 gamma=90.00
Closest atoms and distances in Å follow each position.
Fractional positions:
Cr (0.5000, 0.5000, 0.5000)  4 Co 2.73
Co (0.0000, 0.5000, 0.0000)  4 Cr 2.73, 2 W 2.77
O (0.5000, 0.0000, 0.0000)  2 W 1.93
O (0.0000, 0.0000, 0.5000)  2 W 1.93
W (0.0000, 0.0000, 0.0000)  4 O 1.93

Values from the calculation:
The space group is P4/mmm (123).

(2)
CrCoWO2: relaxed, PBE+U.

Unit cell a=3.7399 b=4.9261 c=3.7399 alpha=90.00 beta=90.00 gamma=90.00
Closest atoms and distances in Å follow each position.
Fractional positions:
W (0.5000, 0.5000, 0.5000)  4 Co 2.64
Cr (0.0000, 0.0000, 0.0000)  4 O 1.87
O (0.5000, 0.0000, 0.0000)  2 Cr 1.87
O (0.0000, 0.0000, 0.5000)  2 Cr 1.87
Co (0.0000, 0.5000, 0.0000)  2 Cr 2.46, 4 W 2.64

Values from the calculation:
The space group is P4/mmm (123).

Relative energies in kJ/mol of atoms: (1) 0.0; (2) 62.6